VASP calculation (PBE) on crystalline ScFeCo2 at its relaxed geometry.

Cell and atoms, written as CIF:
```
data_ScFeCo2
_cell_length_a 3.089
_cell_length_b 4.201
_cell_length_c 8.206
_cell_angle_alpha 90.00
_cell_angle_beta 90.00
_cell_angle_gamma 90.00
_space_group_name_H-M_alt 'I m m m'
_space_group_IT_number 71
_space_group_name_Hall '-I 2 2'
loop_
_atom_site_label
_atom_site_fract_x
_atom_site_fract_y
_atom_site_fract_z
Sc1 0.000 0.000 0.000
Fe1 0.000 0.000 0.500
Co1 0.000 0.500 0.236
```

Total magnetization in μB per atom: 1.243
Total energy in eV per atom: -7.27